Record 1
CeTmTh2Bi4 after structural relaxation. Source: the Alexandria database, functional GGA-PBE.

Properties
Energy of formation = -0.675 eV/atom
Magnetic moment = 1.105 μB/cell
DOS at the Fermi energy = 10.51 states/eV/cell
VASP energy = -5.771 eV per atom

Unit cell a=7.885 b=4.562 c=7.903 alpha=90.00 beta=109.51 gamma=90.00
Sites, in units of the cell vectors:
Ce 0.000 0.000 0.000
Tm 0.000 0.500 0.500
Th 0.500 0.000 0.500
Th 0.500 0.500 0.000
Bi 0.241 0.000 0.742
Bi 0.244 0.500 0.253
Bi 0.756 0.500 0.747
Bi 0.759 0.000 0.258


Record 2
NdY3Rh after structural relaxation. Source: the Alexandria database, functional GGA-PBE.

Properties
Energy of formation = -0.289 eV/atom
Polymorph energy (0 for the lowest one) = 0.000 eV per atom
Magnetic moment = 0.000 μB/cell
DOS at the Fermi energy = 12.80 states/eV/cell
VASP energy = -6.591 eV per atom

Unit cell a=7.644 b=6.564 c=6.233 alpha=90.00 beta=90.00 gamma=90.00
Sites, in units of the cell vectors:
Nd 0.000 0.148 0.000
Nd 0.500 0.852 0.500
Y 0.000 0.845 0.484
Y 0.248 0.318 0.494
Y 0.252 0.682 0.994
Y 0.500 0.155 0.984
Y 0.748 0.682 0.994
Y 0.752 0.318 0.494
Rh 0.000 0.505 0.743
Rh 0.500 0.495 0.243


Which of these has the highest energy of formation? NdY3Rh


The highest magnetic moment belongs to which entry? CeTmTh2Bi4